Entry 1:
VASP calculation (PBE) on an optimized crystal structure of Zr4Sn2N.

abc: 8.2372 8.2372 8.2372
angles: 149.11 149.11 44.24
Last column: nearest neighbours and their distance in Å.
Element x y z (fractional)
Zr 0.0000 0.5000 0.5000  2 N 2.19
Zr 0.1562 0.1562 0.0000  1 N 2.38
Zr 0.5000 0.0000 0.5000  2 N 2.19
Zr 0.8438 0.8438 0.0000  1 N 2.38
Sn 0.3523 0.3523 0.0000  9 Zr 2.99-3.15
Sn 0.6477 0.6477 0.0000  9 Zr 2.99-3.15
N 0.0000 0.0000 0.0000  6 Zr 2.19-2.38

Its space group is No. 139.

Entry 2:
VASP calculation (PBE) on an optimized crystal structure of Ta3TcBr.

abc: 4.6497 4.6497 4.6497
angles: 90.00 90.00 90.00
Last column: nearest neighbours and their distance in Å.
Element x y z (fractional)
Ta 0.0000 0.0000 0.5000  2 Br 2.32
Ta 0.0000 0.5000 0.0000  2 Br 2.32
Ta 0.5000 0.0000 0.0000  2 Br 2.32
Tc 0.5000 0.5000 0.5000  12 Ta 3.29
Br 0.0000 0.0000 0.0000  6 Ta 2.32

As for the energy above the lowest structure with this stoichiometry: 362 meV per atom. Its space group is No. 221.

no.,V (A^3/atom),E_form (uncorrected) (eV per atom)
1,21.0,-0.7783
2,20.1,1.6996